Entry 1:
A plane-wave DFT calculation with GGA-PBE was carried out for VRh3Au after structural relaxation.

Computed properties:
DOS at the Fermi energy	3.9	states/eV/f.u.
ΔH_f (0 K)	0.675	eV/atom

Geometry as CIF:
```
data_VRh3Au
_chemical_formula_sum 'V1 Rh3 Au1'
_symmetry_space_group_name_H-M 'P 1'
_symmetry_Int_Tables_number 1
_cell_length_a 4.465
_cell_length_b 4.465
_cell_length_c 4.465
_cell_angle_alpha 90.00
_cell_angle_beta 90.00
_cell_angle_gamma 90.00
loop_
_symmetry_equiv_pos_as_xyz
'x,y,z'
loop_
_atom_site_label
_atom_site_fract_x
_atom_site_fract_y
_atom_site_fract_z
_atom_site_occupancy
Au1 0.500 0.500 0.500 1
Rh1 0.000 0.500 0.000 1
Rh2 0.000 0.000 0.500 1
Rh3 0.500 0.000 0.000 1
V1 0.000 0.000 0.000 1
```

---

Entry 2:
A plane-wave DFT calculation with GGA-PBE was carried out for V2RhAu after structural relaxation.

Computed properties:
DOS at the Fermi energy	4.4	states/eV/f.u.
ΔH_f (0 K)	-0.169	eV/atom

Geometry as CIF:
```
data_V2RhAu
_chemical_formula_sum 'V2 Rh1 Au1'
_symmetry_space_group_name_H-M 'P 1'
_symmetry_Int_Tables_number 1
_cell_length_a 3.932
_cell_length_b 3.839
_cell_length_c 3.839
_cell_angle_alpha 90.00
_cell_angle_beta 90.00
_cell_angle_gamma 90.00
loop_
_symmetry_equiv_pos_as_xyz
'x,y,z'
loop_
_atom_site_label
_atom_site_fract_x
_atom_site_fract_y
_atom_site_fract_z
_atom_site_occupancy
Rh1 0.500 0.000 0.000 1
Au1 0.500 0.500 0.500 1
V1 0.000 0.000 0.500 1
V2 0.000 0.500 0.000 1
```

---

Entry 3:
A plane-wave DFT calculation with GGA-PBE was carried out for VRhAu after structural relaxation.

Computed properties:
DOS at the Fermi energy	2.0	states/eV/f.u.
ΔH_f (0 K)	-0.203	eV/atom

Geometry as CIF:
```
data_VRhAu
_chemical_formula_sum 'V2 Rh2 Au2'
_symmetry_space_group_name_H-M 'P 1'
_symmetry_Int_Tables_number 1
_cell_length_a 2.797
_cell_length_b 3.961
_cell_length_c 8.445
_cell_angle_alpha 90.00
_cell_angle_beta 99.53
_cell_angle_gamma 90.00
loop_
_symmetry_equiv_pos_as_xyz
'x,y,z'
loop_
_atom_site_label
_atom_site_fract_x
_atom_site_fract_y
_atom_site_fract_z
_atom_site_occupancy
V1 0.957 0.750 0.914 1
V2 0.043 0.250 0.086 1
Rh1 0.597 0.750 0.194 1
Rh2 0.403 0.250 0.806 1
Au1 0.798 0.750 0.596 1
Au2 0.202 0.250 0.404 1
```

---

Entry 4:
A plane-wave DFT calculation with GGA-PBE was carried out for VRhAu after structural relaxation.

Computed properties:
DOS at the Fermi energy	2.4	states/eV/f.u.
ΔH_f (0 K)	-0.095	eV/atom

Geometry as CIF:
```
data_VRhAu
_chemical_formula_sum 'V1 Rh1 Au1'
_symmetry_space_group_name_H-M 'P 1'
_symmetry_Int_Tables_number 1
_cell_length_a 2.843
_cell_length_b 4.309
_cell_length_c 4.309
_cell_angle_alpha 120.00
_cell_angle_beta 90.00
_cell_angle_gamma 90.00
loop_
_symmetry_equiv_pos_as_xyz
'x,y,z'
loop_
_atom_site_label
_atom_site_fract_x
_atom_site_fract_y
_atom_site_fract_z
_atom_site_occupancy
Rh1 0.796 0.333 0.667 1
Au1 0.326 0.667 0.333 1
V1 0.878 0.000 0.000 1
```

---

Entry 5:
A plane-wave DFT calculation with GGA-PBE was carried out for V4Rh7Au after structural relaxation.

Computed properties:
DOS at the Fermi energy	11.7	states/eV/f.u.
ΔH_f (0 K)	0.114	eV/atom

Geometry as CIF:
```
data_V4Rh7Au
_chemical_formula_sum 'V4 Rh7 Au1'
_symmetry_space_group_name_H-M 'P 1'
_symmetry_Int_Tables_number 1
_cell_length_a 4.785
_cell_length_b 7.821
_cell_length_c 5.814
_cell_angle_alpha 76.50
_cell_angle_beta 65.70
_cell_angle_gamma 72.19
loop_
_symmetry_equiv_pos_as_xyz
'x,y,z'
loop_
_atom_site_label
_atom_site_fract_x
_atom_site_fract_y
_atom_site_fract_z
_atom_site_occupancy
V1 0.575 0.227 0.623 1
V2 0.425 0.773 0.377 1
V3 0.726 0.676 0.872 1
V4 0.274 0.324 0.128 1
Rh1 0.787 0.900 0.526 1
Rh2 0.213 0.100 0.474 1
Rh3 0.074 0.636 0.216 1
Rh4 0.926 0.364 0.784 1
Rh5 0.350 0.571 0.729 1
Rh6 0.500 0.000 0.000 1
Rh7 0.650 0.429 0.271 1
Au1 0.000 0.000 0.000 1
```

---

Entry 6:
A plane-wave DFT calculation with GGA-PBE was carried out for VRhAu3 after structural relaxation.

Computed properties:
DOS at the Fermi energy	13.6	states/eV/f.u.
ΔH_f (0 K)	1.156	eV/atom

Geometry as CIF:
```
data_VRhAu3
_chemical_formula_sum 'V1 Rh1 Au3'
_symmetry_space_group_name_H-M 'P 1'
_symmetry_Int_Tables_number 1
_cell_length_a 4.974
_cell_length_b 4.974
_cell_length_c 4.974
_cell_angle_alpha 90.00
_cell_angle_beta 90.00
_cell_angle_gamma 90.00
loop_
_symmetry_equiv_pos_as_xyz
'x,y,z'
loop_
_atom_site_label
_atom_site_fract_x
_atom_site_fract_y
_atom_site_fract_z
_atom_site_occupancy
Au1 0.000 0.500 0.000 1
Au2 0.000 0.000 0.500 1
Au3 0.500 0.000 0.000 1
Rh1 0.000 0.000 0.000 1
V1 0.500 0.500 0.500 1
```

---

no.,M_tot (μB per formula unit),V (Å³ per atom)
1,0.0,17.799
2,0.0,14.488
3,0.0,15.381
4,0.0,15.237
5,0.0,15.611
6,4.3,24.605